A plane-wave DFT calculation with SCAN was carried out for a crystal of Hg4SbIr relaxed with PBEsol.

Cell lengths 7.9358, 7.9358, 7.9358 Å; angles 90.00, 90.00, 90.00 degrees
Space group F-43m (No. 216)
One atom of each set of equivalent atoms:
Hg  0.1245  0.1245  0.1245
Sb  0.0000  0.0000  0.5000
Ir  0.2500  0.2500  0.7500

Raw total energy = -1505.0 eV/cell